# Be4ReMo | Alexandria | GGA-PBEsol | relaxed
data_Be4ReMo
_chemical_formula_sum 'Be16 Re4 Mo4'
_cell_length_a 6.1910
_cell_length_b 6.1910
_cell_length_c 6.1910
_cell_angle_alpha 90.00
_cell_angle_beta 90.00
_cell_angle_gamma 90.00
_space_group_name_H-M_alt 'F -4 3 m'
_space_group_IT_number 216
_space_group_name_Hall 'F -4 2 3'
loop_
_atom_site_label
_atom_site_type_symbol
_atom_site_fract_x
_atom_site_fract_y
_atom_site_fract_z
Be1 Be 0.1249 0.1249 0.1249
Re1 Re 0.2500 0.2500 0.7500
Mo1 Mo 0.0000 0.0000 0.5000
# **Total magnetic moment**: 0.00 μB/f.u.
# **Formation enthalpy at 0 K**: -0.3765 eV/atom